# 1
First-principles (SCAN) data for a PBEsol-optimized structure of Mg2SbBr, as listed in Alexandria via LeMat-Bulk.

* magnetization: 0.00 μB/f.u.
* E_form (uncorrected): 74 meV per atom
* relative energy among the computed polymorphs: 773 meV per atom

Geometry as CIF:
```
data_Mg2SbBr
_chemical_formula_sum 'Mg8 Sb4 Br4'
_symmetry_space_group_name_H-M 'F -4 3 m'
_symmetry_Int_Tables_number 216
_symmetry_space_group_name_Hall 'F -4 2 3'
_cell_length_a 7.3198
_cell_length_b 7.3198
_cell_length_c 7.3198
_cell_angle_alpha 90.00
_cell_angle_beta 90.00
_cell_angle_gamma 90.00
loop_
_atom_site_label
_atom_site_type_symbol
_atom_site_fract_x
_atom_site_fract_y
_atom_site_fract_z
Mg1 Mg 0.0000 0.0000 0.0000
Mg2 Mg 0.2500 0.2500 0.2500
Sb1 Sb 0.0000 0.0000 0.5000
Br1 Br 0.2500 0.2500 0.7500
```

# 2
First-principles (SCAN) data for a PBEsol-optimized structure of Ge3O, as listed in Alexandria via LeMat-Bulk.

* magnetization: 0.00 μB/f.u.
* E_form (uncorrected): 344 meV per atom

Geometry as CIF:
```
data_Ge3O
_chemical_formula_sum 'Ge6 O2'
_symmetry_space_group_name_H-M 'I 4/m m m'
_symmetry_Int_Tables_number 139
_symmetry_space_group_name_Hall '-I 4 2'
_cell_length_a 3.5755
_cell_length_b 3.5755
_cell_length_c 9.7457
_cell_angle_alpha 90.00
_cell_angle_beta 90.00
_cell_angle_gamma 90.00
loop_
_atom_site_label
_atom_site_type_symbol
_atom_site_fract_x
_atom_site_fract_y
_atom_site_fract_z
Ge1 Ge 0.0000 0.0000 0.0000
Ge2 Ge 0.0000 0.5000 0.2500
O1 O 0.0000 0.0000 0.5000
```